# 1
## LiCd2Ag (GGA-PBEsol)

Data for a geometry-optimized LiCd2Ag structure.

a = 2.9773 Å, b = 3.8837 Å, c = 6.1879 Å
α = 90.00°, β = 90.00°, γ = 90.00°
Positions (direct):
Li (0.0000, 0.0000, 0.5137)
Cd (0.0000, 0.0000, 0.9840)
Ag (0.5000, 0.5000, 0.7340)
Cd (0.5000, 0.5000, 0.2683)

- offset from the most stable computed form (meV per atom) = 57
- calculated density (Mg/m³) = 7.9
- density of states at the Fermi level (states/eV/cell) = 1.083
- calculated total energy (eV/atom) = -2.0839
- formation energy from the elements (eV/atom) = -0.166



# 2
## K2SrMoOs (GGA-PBEsol)

Data for a geometry-optimized K2SrMoOs structure.

a = 5.7981 Å, b = 5.7981 Å, c = 5.8627 Å
α = 90.00°, β = 90.00°, γ = 90.00°
Positions (direct):
Os (0.5000, 0.5000, 0.5000)
Sr (0.0000, 0.0000, 0.5000)
K (0.5000, 0.0000, 0.0000)
Mo (0.0000, 0.0000, 0.0000)
K (0.0000, 0.5000, 0.0000)

- calculated density (Mg/m³) = 3.8
- density of states at the Fermi level (states/eV/cell) = 8.199
- calculated total energy (eV/atom) = -3.0785
- formation energy from the elements (eV/atom) = 2.540



# 3
## Li4MnTe3O12 (GGA-PBEsol)

Data for a geometry-optimized Li4MnTe3O12 structure.

a = 4.9345 Å, b = 5.0849 Å, c = 8.7139 Å
α = 90.00°, β = 90.00°, γ = 93.69°
Positions (direct):
O (0.7126, 0.6917, 0.0512)
O (0.2436, 0.3470, 0.7523)
O (0.7564, 0.6530, 0.7523)
Te (0.0000, 0.0000, 0.3998)
Li (0.0000, 0.5000, 0.1295)
Li (0.5000, 0.0000, 0.7042)
O (0.7943, 0.1636, 0.5829)
Mn (0.5000, 0.5000, 0.8973)
Te (0.5000, 0.0000, 0.0739)
O (0.7200, 0.1889, 0.2228)
O (0.6962, 0.1932, 0.9057)
O (0.2198, 0.3546, 0.4436)
O (0.7802, 0.6454, 0.4436)
O (0.2057, 0.8364, 0.5829)
O (0.3038, 0.8068, 0.9057)
O (0.2874, 0.3083, 0.0512)
Li (0.0000, 0.0000, 0.8230)
O (0.2800, 0.8111, 0.2228)
Li (0.5000, 0.5000, 0.3072)
Te (0.0000, 0.5000, 0.6069)

- calculated density (Mg/m³) = 5.0
- energy relative to the elements, uncorrected (eV per atom) = -1.4920
- calculated total energy (eV/atom) = -6.0519



# 4
## TcOs3 (GGA-PBEsol)

Data for a geometry-optimized TcOs3 structure.

a = 4.3129 Å, b = 5.4623 Å, c = 5.4598 Å
α = 59.98°, β = 90.00°, γ = 90.00°
Positions (direct):
Tc (0.7500, 0.5834, 0.8332)
Os (0.2500, 0.4152, 0.6679)
Os (0.7500, 0.0831, 0.3321)
Os (0.7500, 0.5848, 0.3321)
Os (0.7500, 0.0828, 0.8344)
Os (0.2500, 0.9172, 0.1656)
Tc (0.2500, 0.4166, 0.1668)
Os (0.2500, 0.9169, 0.6679)

- offset from the most stable computed form (meV per atom) = 2
- calculated density (Mg/m³) = 19.9
- density of states at the Fermi level (states/eV/cell) = 5.727
- calculated total energy (eV/atom) = -12.0473
- formation energy from the elements (eV/atom) = -0.069



# 5
## Rb2SbSe (GGA-PBEsol)

Data for a geometry-optimized Rb2SbSe structure.

a = 5.8790 Å, b = 5.8790 Å, c = 5.8790 Å
α = 60.00°, β = 60.00°, γ = 60.00°
Positions (direct):
Se (0.5000, 0.5000, 0.5000)
Rb (0.2500, 0.2500, 0.2500)
Sb (0.0000, 0.0000, 0.0000)
Rb (0.7500, 0.7500, 0.7500)

- calculated density (Mg/m³) = 4.3
- density of states at the Fermi level (states/eV/cell) = 5.262
- energy relative to the elements, uncorrected (eV per atom) = -0.1754
- calculated total energy (eV/atom) = -2.7899



# 6
## Ca4BeMo (GGA-PBEsol)

Data for a geometry-optimized Ca4BeMo structure.

a = 6.1937 Å, b = 6.1937 Å, c = 6.1937 Å
α = 60.00°, β = 60.00°, γ = 60.00°
Positions (direct):
Ca (0.3752, 0.8744, 0.3752)
Be (0.0000, 0.0000, 0.0000)
Ca (0.3752, 0.3752, 0.8744)
Ca (0.8744, 0.3752, 0.3752)
Mo (0.7500, 0.7500, 0.7500)
Ca (0.3752, 0.3752, 0.3752)

- calculated density (Mg/m³) = 2.6
- density of states at the Fermi level (states/eV/cell) = 5.392
- calculated total energy (eV/atom) = -2.7499
- formation energy from the elements (eV/atom) = 1.300



# 7
## InAg3 (GGA-PBEsol)

Data for a geometry-optimized InAg3 structure.

a = 5.2443 Å, b = 5.2443 Å, c = 5.2443 Å
α = 90.00°, β = 90.00°, γ = 90.00°
Positions (direct):
Ag (0.5000, 0.0000, 0.2500)
Ag (0.5000, 0.0000, 0.7500)
In (0.5000, 0.5000, 0.5000)
Ag (0.2500, 0.5000, 0.0000)
In (0.0000, 0.0000, 0.0000)
Ag (0.7500, 0.5000, 0.0000)
Ag (0.0000, 0.2500, 0.5000)
Ag (0.0000, 0.7500, 0.5000)

- calculated density (Mg/m³) = 10.1
- density of states at the Fermi level (states/eV/cell) = 2.441
- calculated total energy (eV/atom) = -3.2339
- formation energy from the elements (eV/atom) = -0.005



# 8
## CsLiFe3 (GGA-PBEsol)

Data for a geometry-optimized CsLiFe3 structure.

a = 4.4582 Å, b = 4.4582 Å, c = 4.4582 Å
α = 90.00°, β = 90.00°, γ = 90.00°
Positions (direct):
Cs (0.5000, 0.5000, 0.5000)
Li (0.0000, 0.0000, 0.0000)
Fe (0.0000, 0.0000, 0.5000)
Fe (0.0000, 0.5000, 0.0000)
Fe (0.5000, 0.0000, 0.0000)

- calculated density (Mg/m³) = 5.8
- density of states at the Fermi level (states/eV/cell) = 6.170
- calculated total energy (eV/atom) = -4.2862
- formation energy from the elements (eV/atom) = 1.674



# 9
## CaRuSeBr2 (GGA-PBEsol)

Data for a geometry-optimized CaRuSeBr2 structure.

a = 4.7797 Å, b = 5.0378 Å, c = 5.0378 Å
α = 90.00°, β = 90.00°, γ = 90.00°
Positions (direct):
Br (0.0000, 0.0000, 0.5000)
Br (0.0000, 0.5000, 0.0000)
Se (0.5000, 0.0000, 0.0000)
Ru (0.0000, 0.0000, 0.0000)
Ca (0.5000, 0.5000, 0.5000)

- calculated density (Mg/m³) = 5.2
- density of states at the Fermi level (states/eV/cell) = 3.148
- energy relative to the elements, uncorrected (eV per atom) = -0.5161
- calculated total energy (eV/atom) = -4.4952



# 10
## BeIrPb3 (GGA-PBEsol)

Data for a geometry-optimized BeIrPb3 structure.

a = 4.8288 Å, b = 4.8288 Å, c = 4.8288 Å
α = 90.00°, β = 90.00°, γ = 90.00°
Positions (direct):
Pb (0.0000, 0.0000, 0.5000)
Ir (0.5000, 0.5000, 0.5000)
Pb (0.5000, 0.0000, 0.0000)
Pb (0.0000, 0.5000, 0.0000)
Be (0.0000, 0.0000, 0.0000)

- calculated density (Mg/m³) = 12.1
- density of states at the Fermi level (states/eV/cell) = 2.581
- calculated total energy (eV/atom) = -4.2346
- formation energy from the elements (eV/atom) = 0.929



# 11
## CaZnSe2 (GGA-PBEsol)

Data for a geometry-optimized CaZnSe2 structure.

a = 4.0440 Å, b = 4.1608 Å, c = 5.9360 Å
α = 94.53°, β = 90.00°, γ = 90.00°
Positions (direct):
Zn (0.0000, 0.8327, 0.4568)
Se (0.5000, 0.5504, 0.3444)
Se (0.0000, 0.0591, 0.8422)
Ca (0.5000, 0.5578, 0.8566)

- calculated density (Mg/m³) = 4.4
- density of states at the Fermi level (states/eV/cell) = 0.000
- energy relative to the elements, uncorrected (eV per atom) = -1.1931
- calculated total energy (eV/atom) = -4.0470



# 12
## Tl2AgHg (GGA-PBEsol)

Data for a geometry-optimized Tl2AgHg structure.

a = 3.3086 Å, b = 5.4473 Å, c = 5.8664 Å
α = 110.20°, β = 106.38°, γ = 90.00°
Positions (direct):
Hg (0.2246, 0.7651, 0.4492)
Ag (0.5125, 0.4653, 0.0250)
Tl (0.9895, 0.9641, 0.9791)
Tl (0.7734, 0.3056, 0.5468)

- offset from the most stable computed form (meV per atom) = 0
- calculated density (Mg/m³) = 12.6
- density of states at the Fermi level (states/eV/cell) = 1.276
- calculated total energy (eV/atom) = -2.2177
- formation energy from the elements (eV/atom) = 0.067



# 13
## LaMg2TaCu (GGA-PBEsol)

Data for a geometry-optimized LaMg2TaCu structure.

a = 5.0273 Å, b = 5.5910 Å, c = 5.5910 Å
α = 90.00°, β = 90.00°, γ = 90.00°
Positions (direct):
Ta (0.5000, 0.0000, 0.0000)
Mg (0.0000, 0.5000, 0.0000)
Mg (0.0000, 0.0000, 0.5000)
Cu (0.5000, 0.5000, 0.5000)
La (0.0000, 0.0000, 0.0000)

- calculated density (Mg/m³) = 4.6
- density of states at the Fermi level (states/eV/cell) = 4.922
- calculated total energy (eV/atom) = -3.1302
- formation energy from the elements (eV/atom) = 2.003



# 14
## CaV2O5 (GGA-PBEsol)

Data for a geometry-optimized CaV2O5 structure.

a = 3.5603 Å, b = 4.9352 Å, c = 11.2416 Å
α = 90.00°, β = 90.00°, γ = 90.00°
Positions (direct):
V (0.0000, 0.3895, 0.1528)
O (0.5000, 0.5294, 0.1763)
Ca (0.0000, 0.1457, 0.5000)
V (0.5000, 0.6105, 0.3472)
Ca (0.5000, 0.8543, 0.0000)
O (0.5000, 0.9412, 0.3738)
V (0.5000, 0.6105, 0.6528)
O (0.0000, 0.5545, 0.0000)
O (0.0000, 0.0588, 0.8738)
O (0.0000, 0.4706, 0.6763)
V (0.0000, 0.3895, 0.8472)
O (0.0000, 0.0588, 0.1262)
O (0.5000, 0.9412, 0.6262)
O (0.5000, 0.5294, 0.8237)
O (0.5000, 0.4455, 0.5000)
O (0.0000, 0.4706, 0.3237)

- offset from the most stable computed form (meV per atom) = 0
- calculated density (Mg/m³) = 3.7
- density of states at the Fermi level (states/eV/cell) = 2.744
- energy relative to the elements, uncorrected (eV per atom) = -2.6070
- calculated total energy (eV/atom) = -8.5631



# 15
## KPSCl2 (GGA-PBEsol)

Data for a geometry-optimized KPSCl2 structure.

a = 4.4558 Å, b = 5.0257 Å, c = 5.0257 Å
α = 90.00°, β = 90.00°, γ = 90.00°
Positions (direct):
K (0.5000, 0.5000, 0.5000)
Cl (0.0000, 0.5000, 0.0000)
S (0.5000, 0.0000, 0.0000)
Cl (0.0000, 0.0000, 0.5000)
P (0.0000, 0.0000, 0.0000)

- calculated density (Mg/m³) = 2.6
- density of states at the Fermi level (states/eV/cell) = 0.671
- energy relative to the elements, uncorrected (eV per atom) = -0.7371
- calculated total energy (eV/atom) = -3.8020



# 16
## YZr4Pt (GGA-PBEsol)

Data for a geometry-optimized YZr4Pt structure.

a = 5.6829 Å, b = 5.6829 Å, c = 5.6829 Å
α = 60.00°, β = 60.00°, γ = 60.00°
Positions (direct):
Zr (0.3751, 0.3751, 0.8748)
Y (0.0000, 0.0000, 0.0000)
Zr (0.3751, 0.8748, 0.3751)
Pt (0.7500, 0.7500, 0.7500)
Zr (0.8748, 0.3751, 0.3751)
Zr (0.3751, 0.3751, 0.3751)

- calculated density (Mg/m³) = 8.3
- density of states at the Fermi level (states/eV/cell) = 6.977
- calculated total energy (eV/atom) = -8.2242
- formation energy from the elements (eV/atom) = 0.133



# 17
## V2OF5 (GGA-PBEsol)

Data for a geometry-optimized V2OF5 structure.

a = 4.5033 Å, b = 8.2887 Å, c = 8.2889 Å
α = 60.17°, β = 90.25°, γ = 89.75°
Positions (direct):
F (0.2505, 0.8854, 0.8855)
F (0.2508, 0.5517, 0.9006)
V (0.4850, 0.0133, 0.3270)
F (0.2513, 0.2068, 0.5758)
F (0.7517, 0.1258, 0.7582)
V (0.4846, 0.3456, 0.6602)
F (0.2517, 0.2363, 0.8812)
O (0.7505, 0.7952, 0.7953)
F (0.7504, 0.1159, 0.1160)
V (0.0162, 0.6600, 0.3458)
F (0.7506, 0.1001, 0.4482)
F (0.2491, 0.8811, 0.2364)
V (0.9825, 0.9878, 0.6747)
O (0.2504, 0.2065, 0.2067)
F (0.7492, 0.7581, 0.1259)
F (0.2496, 0.5757, 0.2070)
V (0.5184, 0.6746, 0.9879)
F (0.7496, 0.4270, 0.7878)
V (0.0158, 0.3269, 0.0134)
O (0.2504, 0.5389, 0.5390)
F (0.2501, 0.9004, 0.5519)
F (0.7504, 0.4507, 0.4508)
F (0.7512, 0.7876, 0.4271)
F (0.7503, 0.4481, 0.1003)

- offset from the most stable computed form (meV per atom) = 37
- calculated density (Mg/m³) = 4.0
- density of states at the Fermi level (states/eV/cell) = 13.846
- energy relative to the elements, uncorrected (eV per atom) = -2.7809
- calculated total energy (eV/atom) = -7.0503



# 18
## Se2N2Cl (GGA-PBEsol)

Data for a geometry-optimized Se2N2Cl structure.

a = 2.4194 Å, b = 10.9873 Å, c = 10.9873 Å
α = 90.00°, β = 90.00°, γ = 90.00°
Positions (direct):
N (0.0000, 0.9643, 0.5357)
Cl (0.0000, 0.0000, 0.0000)
Se (0.5000, 0.2389, 0.7389)
Se (0.5000, 0.7611, 0.2611)
Cl (0.0000, 0.5000, 0.5000)
Se (0.5000, 0.7389, 0.7611)
N (0.0000, 0.4643, 0.9643)
N (0.0000, 0.0357, 0.4643)
Se (0.5000, 0.2611, 0.2389)
N (0.0000, 0.5357, 0.0357)

- calculated density (Mg/m³) = 2.5
- density of states at the Fermi level (states/eV/cell) = 5.943
- energy relative to the elements, uncorrected (eV per atom) = 0.4170
- calculated total energy (eV/atom) = -4.9353



# 19
## BaAlAu3 (GGA-PBEsol)

Data for a geometry-optimized BaAlAu3 structure.

a = 4.9632 Å, b = 4.9632 Å, c = 4.9632 Å
α = 90.00°, β = 90.00°, γ = 90.00°
Positions (direct):
Al (0.0000, 0.0000, 0.0000)
Au (0.0000, 0.5000, 0.0000)
Au (0.0000, 0.0000, 0.5000)
Au (0.5000, 0.0000, 0.0000)
Ba (0.5000, 0.5000, 0.5000)

- calculated density (Mg/m³) = 10.3
- density of states at the Fermi level (states/eV/cell) = 1.786
- calculated total energy (eV/atom) = -4.0483
- formation energy from the elements (eV/atom) = -0.446



# 20
## KMnPt2Br (GGA-PBEsol)

Data for a geometry-optimized KMnPt2Br structure.

a = 4.5856 Å, b = 4.9253 Å, c = 4.9253 Å
α = 90.00°, β = 90.00°, γ = 90.00°
Positions (direct):
Pt (0.0000, 0.0000, 0.5000)
Br (0.0000, 0.0000, 0.0000)
Pt (0.0000, 0.5000, 0.0000)
Mn (0.5000, 0.0000, 0.0000)
K (0.5000, 0.5000, 0.5000)

- calculated density (Mg/m³) = 8.4
- density of states at the Fermi level (states/eV/cell) = 3.544
- energy relative to the elements, uncorrected (eV per atom) = 0.8381
- calculated total energy (eV/atom) = -4.5002